DFT (PBE-GGA) results for an optimized crystal structure of HfMg3Rh.

The value obtained for the density is 5.3 Mg/m³. Its electronic total energy is -4.099 eV per atom. The volume is 22.207 A^3/atom. For the formation energy, the calculation gives 0.319 eV per atom.

The space group is Pm-3m (No. 221) and the conventional cell measures 4.8064, 4.8064 and 4.8064 Å, with angles of 90.00, 90.00 and 90.00 degrees. Symmetry generates all atoms from Hf at (0.0000, 0.0000, 0.0000), Mg at (0.0000, 0.5000, 0.5000) and Rh at (0.5000, 0.5000, 0.5000).